# YMnNbSe2, optimized geometry, DFT PBE
# E = -6.219 eV per atom
# ΔE_f (raw) = 316 meV/atom
# Spin magnetization = 4.54 μB per formula unit
# N(E_F) = 0.720 states/eV/atom
data_YMnNbSe2
_chemical_formula_sum 'Y1 Mn1 Nb1 Se2'
_space_group_name_H-M_alt 'P 4/m m m'
_space_group_IT_number 123
_space_group_name_Hall '-P 4 2'
_cell_length_a 5.0000
_cell_length_b 5.0000
_cell_length_c 5.5984
_cell_angle_alpha 90.00
_cell_angle_beta 90.00
_cell_angle_gamma 90.00
loop_
_atom_site_label
_atom_site_fract_x
_atom_site_fract_y
_atom_site_fract_z
Y1 0.0000 0.0000 0.0000
Mn1 0.5000 0.5000 0.0000
Nb1 0.0000 0.0000 0.5000
Se1 0.0000 0.5000 0.5000